Record 1
DFT (PBE) results for an optimized crystal structure of Ga2Cu4Ag.

Its formation energy is 0.110 eV per atom. The total energy is -49.0 eV per cell. The magnetization comes out at 0.000 μB/f.u.

It has space group I4/mmm (No. 139), with a = 3.457 Å, b = 3.457 Å, c = 17.834 Å, α = 90.00°, β = 90.00° and γ = 90.00°. Symmetry generates all atoms from Ga at (0.000, 0.000, 0.107), Cu at (0.000, 0.000, 0.354), Cu at (0.000, 0.500, 0.250) and Ag at (0.000, 0.000, 0.500).

=====

Record 2
DFT (PBE) results for an optimized crystal structure of GaCu2Ag2.

Its formation energy is 0.073 eV per atom. The total energy is -33.1 eV per cell. The magnetization comes out at 0.000 μB/f.u. The offset from the most stable computed form comes out at 0 meV per atom.

It has space group P4/mbm (No. 127), with a = 6.347 Å, b = 6.347 Å, c = 3.944 Å, α = 90.00°, β = 90.00° and γ = 90.00°. Symmetry generates all atoms from Ga at (0.000, 0.000, 0.000), Cu at (0.136, 0.364, 0.000) and Ag at (0.164, 0.664, 0.500).

=====

Record 3
DFT (PBE) results for an optimized crystal structure of Ga2CuAg6.

Its formation energy is 0.065 eV per atom. The total energy is -53.3 eV per cell. The magnetization comes out at 0.000 μB/f.u.

It has space group C2/m (No. 12), with a = 9.172 Å, b = 4.000 Å, c = 8.755 Å, α = 90.00°, β = 94.52° and γ = 90.00°. Symmetry generates all atoms from Ga at (0.224, 0.000, 0.399), Cu at (0.000, 0.000, 0.000), Ag at (0.076, 0.000, 0.662), Ag at (0.107, 0.500, 0.205) and Ag at (0.191, 0.500, 0.895).

=====

Record 4
DFT (PBE) results for an optimized crystal structure of Ga2CuAg.

Its formation energy is 0.005 eV per atom. The total energy is -38.9 eV per cell. The magnetization comes out at 0.000 μB/f.u. The offset from the most stable computed form comes out at 10 meV per atom.

It has space group R-3m (No. 166, hexagonal axes), with a = 2.9711 Å, b = 2.9711 Å, c = 25.4163 Å, α = 90.00°, β = 90.00° and γ = 120.00°. Symmetry generates all atoms from Ga at (0.0000, 0.0000, 0.2433), Cu at (0.0000, 0.0000, 0.5000) and Ag at (0.0000, 0.0000, 0.0000).